Run 1
ZnPb2 | GGA-PBE | optimized geometry

POSCAR file:
```
ZnPb2
1.0
-1.2972 3.3049 -3.3744
-5.8827 1.1592 3.3967
4.2783 6.8557 5.0698
Pb Zn
8 4
Direct
0.2500 0.0446 0.8022 Pb
0.7500 0.4554 0.3022 Pb
0.2500 0.5446 0.6978 Pb
0.7500 0.9554 0.1978 Pb
0.2500 0.1647 0.4383 Pb
0.7500 0.3353 0.9383 Pb
0.2500 0.6647 0.0617 Pb
0.7500 0.8353 0.5617 Pb
0.2500 0.7080 0.3850 Zn
0.7500 0.7920 0.8850 Zn
0.2500 0.2080 0.1150 Zn
0.7500 0.2920 0.6150 Zn
```

Values from the calculation:
The space group is Pnma.

Run 2
ZnPb2 | GGA-PBE | optimized geometry

POSCAR file:
```
ZnPb2
1.0
-7.5378 1.2018 -3.0848
6.5508 -4.4464 2.2574
-2.2924 -0.6650 5.3426
Zn Pb
2 4
Direct
0.1051 0.8949 0.7500 Zn
0.8949 0.1051 0.2500 Zn
0.7643 0.2357 0.7500 Pb
0.4509 0.5491 0.7500 Pb
0.2357 0.7643 0.2500 Pb
0.5491 0.4509 0.2500 Pb
```

Values from the calculation:
The space group is Cmcm.

Run 3
ZnPb2 | GGA-PBE | optimized geometry

POSCAR file:
```
ZnPb2
1.0
2.5959 -4.4962 0.0000
2.5959 4.4962 0.0000
0.0000 0.0000 6.9703
Zn Pb
2 4
Direct
0.6667 0.3333 0.2500 Zn
0.3333 0.6667 0.7500 Zn
0.0000 0.0000 0.0000 Pb
0.0000 0.0000 0.5000 Pb
0.3333 0.6667 0.2500 Pb
0.6667 0.3333 0.7500 Pb
```

Values from the calculation:
The space group is P6_3/mmc.

Calculated relative energies: run 1 0; run 2 29; run 3 23, given in meV per atom